Here is a geometry-optimized PuReSi2Ru structure from Alexandria. Energies are from PBE.

Properties
The calculation puts the calculated volume at 17.07 Å³ per atom. The uncorrected energy comes out at -9.8661 eV per atom. The space-group type is I-4m2 (119). As for the calculated density: 11.4 g/cm³.

Cell lengths 4.1407, 4.1407, 5.7761 Å; angles 111.00, 111.00, 90.00 degrees
Last column: nearest neighbours and their distance in Å.
Atoms (fractional coordinates):
Si1 0.6240 0.6240 0.2479  2 Re 2.42, 2 Ru 2.42, 1 Si 2.47
Si2 0.3760 0.3760 0.7521  2 Re 2.42, 2 Ru 2.42, 1 Si 2.47
Ru1 0.2500 0.7500 0.5000  4 Si 2.42
Re1 0.7500 0.2500 0.5000  4 Si 2.42
Pu1 0.0000 0.0000 0.0000  8 Si 3.18, 4 Re 3.24, 4 Ru 3.24